Entry 1:
Material: Ta2NiHIr
Method: DFT, GGA-PBE
State: relaxed

**SG**: P4/mmm
**Uncorrected energy**: -8.652 eV per atom

```
Ta2NiHIr
1.0
-0.563 3.782 1.306
1.177 -1.103 3.704
3.668 0.860 -0.909
Ta Ni Ir H
2 1 1 1
direct
0.500 0.000 0.000
0.000 0.500 0.000
0.000 0.000 0.500
0.500 0.500 0.500
0.000 0.000 0.000
```

---

Entry 2:
Material: Ti6Pd5Rh
Method: DFT, GGA-PBE
State: relaxed

**SG**: C2/m
**Calculated formation energy**: -374 meV/atom

```
Ti6Pd5Rh
1.0
-4.361 0.330 7.695
2.449 -3.636 2.516
4.031 1.087 2.724
Rh Pd Ti
1 5 6
direct
0.000 0.000 0.000
0.500 0.167 0.666
0.000 0.667 0.667
0.500 0.833 0.334
0.000 0.333 0.333
0.500 0.500 0.000
0.753 0.754 0.000
0.752 0.084 0.331
0.248 0.916 0.669
0.752 0.414 0.669
0.248 0.586 0.331
0.247 0.246 0.000
```

---

Entry 3:
Material: HoAgPd5
Method: DFT, GGA-PBE
State: relaxed

**SG**: Imm2
**Calculated formation energy**: -272 meV/atom

```
HoAgPd5
1.0
-2.719 7.069 -5.570
-4.719 -2.428 -0.778
2.748 -1.086 5.214
Pd Ho Ag
5 1 1
direct
0.522 0.756 0.000
0.522 0.244 0.000
0.050 0.500 0.000
0.547 0.751 0.503
0.044 0.249 0.497
0.779 0.500 0.000
0.067 0.000 0.000
```